Material: TbPbF
Method: DFT, GGA-PBE
State: optimized geometry

Cell lengths 5.329, 3.904, 3.904 Å; angles 120.00, 90.00, 90.00 degrees
Positions (direct):
Pb: 0.667 0.667 0.333
Tb: 0.166 0.000 0.000
F: 0.167 0.333 0.667

Calculated values
The polymorph energy (0 for the lowest one) is 0 meV/atom. Its symmetry is P-6m2, No. 187. As for the crystal system: hexagonal.


Material: TbPb2F8
Method: DFT, GGA-PBE
State: optimized geometry

Cell lengths 3.960, 5.636, 7.599 Å; angles 108.13, 105.10, 90.00 degrees
Positions (direct):
Tb: 0.500 0.000 0.000
Pb: 0.826 0.324 0.652
Pb: 0.174 0.676 0.348
F: 0.407 0.586 0.815
F: 0.653 0.953 0.306
F: 0.780 0.692 0.559
F: 0.975 0.190 0.949
F: 0.220 0.308 0.441
F: 0.347 0.047 0.694
F: 0.593 0.414 0.185
F: 0.025 0.810 0.051

Calculated values
The polymorph energy (0 for the lowest one) is 2 meV/atom. Its symmetry is C2/m, No. 12. As for the crystal system: monoclinic.


Material: TbPb2F11
Method: DFT, GGA-PBE
State: optimized geometry

Cell lengths 8.032, 8.448, 8.448 Å; angles 74.36, 61.61, 61.61 degrees
Positions (direct):
Tb: 0.750 0.750 0.750
Tb: 0.250 0.250 0.250
Pb: 0.642 0.682 0.318
Pb: 0.358 0.318 0.682
Pb: 0.858 0.182 0.818
Pb: 0.142 0.818 0.182
F: 0.637 0.707 0.564
F: 0.363 0.293 0.436
F: 0.091 0.564 0.707
F: 0.863 0.936 0.793
F: 0.909 0.436 0.293
F: 0.137 0.064 0.207
F: 0.409 0.793 0.936
F: 0.591 0.207 0.064
F: 0.500 0.500 0.500
F: 0.000 0.000 0.000
F: 0.872 0.789 0.211
F: 0.128 0.211 0.789
F: 0.628 0.289 0.711
F: 0.372 0.711 0.289
F: 0.456 0.964 0.321
F: 0.544 0.036 0.679
F: 0.259 0.321 0.964
F: 0.044 0.179 0.536
F: 0.741 0.679 0.036
F: 0.956 0.821 0.464
F: 0.241 0.536 0.179
F: 0.759 0.464 0.821

Calculated values
Its symmetry is Ibam, No. 72. As for the crystal system: orthorhombic.


Material: TbPbF
Method: DFT, GGA-PBE
State: optimized geometry

Cell lengths 3.346, 3.346, 6.437 Å; angles 105.07, 105.07, 90.00 degrees
Positions (direct):
Pb: 0.006 0.006 0.013
Tb: 0.722 0.722 0.444
F: 0.272 0.272 0.543

Calculated values
The polymorph energy (0 for the lowest one) is 189 meV/atom. Its symmetry is I4mm, No. 107. As for the crystal system: tetragonal.


Material: TbPb2F8
Method: DFT, GGA-PBE
State: optimized geometry

Cell lengths 3.850, 5.419, 8.865 Å; angles 101.56, 102.54, 90.00 degrees
Positions (direct):
Pb: 0.154 0.551 0.308
Pb: 0.846 0.449 0.692
Tb: 0.500 0.000 0.000
F: 0.591 0.746 0.181
F: 0.376 0.733 0.752
F: 0.255 0.309 0.510
F: 0.022 0.238 0.043
F: 0.745 0.691 0.490
F: 0.624 0.267 0.248
F: 0.409 0.254 0.819
F: 0.978 0.762 0.957

Calculated values
The polymorph energy (0 for the lowest one) is 0 meV/atom. Its symmetry is C2/m, No. 12. As for the crystal system: monoclinic.


Material: TbPbF
Method: DFT, GGA-PBE
State: optimized geometry

Cell lengths 4.103, 4.103, 9.242 Å; angles 102.42, 102.42, 90.54 degrees
Positions (direct):
F: 0.722 0.722 0.499
F: 0.278 0.278 0.501
Tb: 0.604 0.604 0.707
Tb: 0.396 0.396 0.293
Pb: 0.200 0.200 0.903
Pb: 0.800 0.800 0.097

Calculated values
The polymorph energy (0 for the lowest one) is 137 meV/atom. Its symmetry is C2/m, No. 12. As for the crystal system: monoclinic.


Material: TbPb3F8
Method: DFT, GGA-PBE
State: optimized geometry

Cell lengths 5.934, 5.934, 5.934 Å; angles 90.00, 90.00, 90.00 degrees
Positions (direct):
Tb: 0.000 0.000 0.000
Pb: 0.500 0.500 0.000
Pb: 0.500 0.000 0.500
Pb: 0.000 0.500 0.500
F: 0.225 0.225 0.775
F: 0.225 0.775 0.225
F: 0.775 0.225 0.225
F: 0.775 0.775 0.775
F: 0.775 0.775 0.225
F: 0.775 0.225 0.775
F: 0.225 0.775 0.775
F: 0.225 0.225 0.225

Calculated values
Its symmetry is Pm-3m, No. 221. As for the crystal system: cubic.


Material: TbPbF5
Method: DFT, GGA-PBE
State: optimized geometry

Cell lengths 4.351, 5.881, 8.325 Å; angles 89.09, 74.85, 86.51 degrees
Positions (direct):
Tb: 0.074 0.250 0.851
Tb: 0.926 0.750 0.149
Pb: 0.323 0.250 0.355
Pb: 0.677 0.750 0.645
F: 0.190 0.401 0.077
F: 0.198 0.494 0.622
F: 0.380 0.750 0.240
F: 0.180 0.006 0.622
F: 0.267 0.901 0.923
F: 0.733 0.099 0.077
F: 0.820 0.994 0.378
F: 0.620 0.250 0.760
F: 0.802 0.506 0.378
F: 0.810 0.599 0.923

Calculated values
Its symmetry is C2/c, No. 15. As for the crystal system: monoclinic.


Material: TbPb2F6
Method: DFT, GGA-PBE
State: optimized geometry

Cell lengths 3.471, 7.534, 8.774 Å; angles 54.34, 78.59, 76.68 degrees
Site moments in Bohr magnetons follow the coordinates.
Positions (direct):
Tb: 0.000 0.500 0.500  0.00
Pb: 0.150 0.795 0.904  -0.09
Pb: 0.850 0.205 0.096  -0.09
F: 0.685 0.505 0.125  -0.02
F: 0.315 0.495 0.875  -0.02
F: 0.019 0.766 0.196  0.00
F: 0.406 0.693 0.494  0.00
F: 0.981 0.234 0.804  0.00
F: 0.594 0.307 0.506  0.00

Calculated values
Its symmetry is C2/m, No. 12. As for the crystal system: monoclinic.


Material: TbTlPbF6
Method: DFT, GGA-PBE
State: optimized geometry

Cell lengths 5.716, 5.716, 11.647 Å; angles 90.00, 90.00, 90.00 degrees
Positions (direct):
Tb: 0.500 0.500 0.833
Tb: 0.000 0.000 0.333
Tl: 0.500 0.500 0.499
Tl: 0.000 0.000 0.999
Pb: 0.500 0.500 0.170
Pb: 0.000 0.000 0.670
F: 0.168 0.832 0.484
F: 0.832 0.168 0.484
F: 0.332 0.332 0.984
F: 0.668 0.668 0.984
F: 0.199 0.801 0.202
F: 0.801 0.199 0.202
F: 0.301 0.301 0.702
F: 0.699 0.699 0.702
F: 0.773 0.227 0.813
F: 0.227 0.773 0.813
F: 0.727 0.727 0.313
F: 0.273 0.273 0.313

Calculated values
Its symmetry is P4_2nm, No. 102. As for the crystal system: tetragonal.


Material: TcPbF3
Method: DFT, GGA-PBE
State: optimized geometry

Cell lengths 4.792, 4.792, 4.792 Å; angles 90.00, 90.00, 90.00 degrees
Site moments in Bohr magnetons follow the coordinates.
Positions (direct):
Pb: 0.000 0.000 0.000  0.02
Tc: 0.500 0.500 0.500  4.15
F: 0.000 0.500 0.000  0.06
F: 0.000 0.000 0.500  0.05
F: 0.500 0.000 0.000  0.03

Calculated values
The polymorph energy (0 for the lowest one) is 266 meV/atom. Its symmetry is Pm-3m, No. 221. As for the crystal system: cubic.


Material: TcPbF2
Method: DFT, GGA-PBE
State: optimized geometry

Cell lengths 4.147, 4.147, 8.483 Å; angles 75.85, 75.85, 90.00 degrees
Site moments in Bohr magnetons follow the coordinates.
Positions (direct):
Pb: 0.000 0.000 0.000  -0.09
Pb: 0.750 0.250 0.500  -0.09
Tc: 0.500 0.500 0.000  2.81
Tc: 0.250 0.750 0.500  2.81
F: 0.565 0.125 0.250  0.05
F: 0.185 0.625 0.250  0.05
F: 0.375 0.435 0.750  0.04
F: 0.875 0.815 0.750  0.04

Calculated values
The polymorph energy (0 for the lowest one) is 133 meV/atom. Its symmetry is I-42d, No. 122. As for the crystal system: tetragonal.


Energy relative to the elements, uncorrected per entry: -43.16, -65.45, -57.81, -38.80, -65.50, -40.01, -63.62, -78.33, -64.62, -69.26, -18.36, -17.47 kcal/mol of atoms